A plane-wave DFT calculation with meta-GGA SCAN was carried out for a PBEsol-optimized structure of SbOs2.

Values from the calculation:
The calculation puts the mass density at 17027 kg/m3. The calculation puts the uncorrected formation energy at 750.0 meV/atom. The calculation puts the total energy at -59.59 eV/atom.

Unit cell a=4.029 b=11.355 c=4.283 alpha=90.00 beta=90.00 gamma=90.00
Space group Cmcm (No. 63)
One atom of each set of equivalent atoms:
Sb (0.000, 0.102, 0.250) (multiplicity 4)
Os (0.000, 0.230, 0.750) (multiplicity 4)
Os (0.000, 0.433, 0.250) (multiplicity 4)

***

A plane-wave DFT calculation with meta-GGA SCAN was carried out for a PBEsol-optimized structure of SbAsPb.

Values from the calculation:
The calculation puts the mass density at 8827 kg/m3. The calculation puts the uncorrected formation energy at 163.8 meV/atom. The calculation puts the total energy at -44.25 eV/atom.

Unit cell a=3.712 b=3.712 c=11.027 alpha=90.00 beta=90.00 gamma=90.00
Space group I4mm (No. 107)
One atom of each set of equivalent atoms:
Sb (0.000, 0.000, 0.000) (multiplicity 2)
As (0.000, 0.000, 0.613) (multiplicity 2)
Pb (0.000, 0.000, 0.293) (multiplicity 2)

***

A plane-wave DFT calculation with meta-GGA SCAN was carried out for a PBEsol-optimized structure of La2RhPb.

Values from the calculation:
The calculation puts the mass density at 9378 kg/m3. For the formation energy, the calculation gives -773 meV per atom. The calculation puts the total energy at -49.71 eV/atom.

Unit cell a=3.536 b=3.536 c=8.326 alpha=90.00 beta=90.00 gamma=90.00
Space group P4/mmm (No. 123)
One atom of each set of equivalent atoms:
La (0.000, 0.000, 0.206) (multiplicity 2)
Rh (0.500, 0.500, 0.000) (multiplicity 1)
Pb (0.500, 0.500, 0.500) (multiplicity 1)

***

A plane-wave DFT calculation with meta-GGA SCAN was carried out for a PBEsol-optimized structure of ScCo2Rh.

Values from the calculation:
The calculation puts the mass density at 8392 kg/m3. For the formation energy, the calculation gives -192 meV per atom. The calculation puts the total energy at -20.85 eV/atom.

Unit cell a=9.399 b=2.879 c=4.344 alpha=90.00 beta=116.55 gamma=90.00
Space group Cm (No. 8)
One atom of each set of equivalent atoms:
Sc (0.000, 0.000, 0.000) (multiplicity 2)
Co (0.018, 0.500, 0.544) (multiplicity 2)
Co (0.239, 0.000, 0.645) (multiplicity 2)
Rh (0.270, 0.500, 0.181) (multiplicity 2)

***

A plane-wave DFT calculation with meta-GGA SCAN was carried out for a PBEsol-optimized structure of GeTeH2.

Values from the calculation:
The calculation puts the mass density at 5615 kg/m3. The calculation puts the total energy at -15.38 eV/atom.

Unit cell a=7.822 b=7.822 c=7.822 alpha=90.00 beta=90.00 gamma=90.00
Space group Fd-3m (No. 227, origin choice 2)
One atom of each set of equivalent atoms:
Ge (0.125, 0.125, 0.125) (multiplicity 8)
Te (0.125, 0.125, 0.625) (multiplicity 8)
H (0.000, 0.000, 0.000) (multiplicity 16)

***

A plane-wave DFT calculation with meta-GGA SCAN was carried out for a PBEsol-optimized structure of Re2OsSe.

Values from the calculation:
The calculation puts the mass density at 17757 kg/m3. The calculation puts the uncorrected formation energy at 1096.7 meV/atom. The calculation puts the total energy at -57.44 eV/atom.

Unit cell a=3.718 b=3.718 c=4.341 alpha=90.00 beta=90.00 gamma=90.00
Space group P4/mmm (No. 123)
One atom of each set of equivalent atoms:
Re (0.000, 0.500, 0.000) (multiplicity 2)
Os (0.000, 0.000, 0.500) (multiplicity 1)
Se (0.500, 0.500, 0.500) (multiplicity 1)

***

A plane-wave DFT calculation with meta-GGA SCAN was carried out for a PBEsol-optimized structure of TeP2RuCl.

Values from the calculation:
The calculation puts the mass density at 5553 kg/m3. The calculation puts the uncorrected formation energy at 350.1 meV/atom. The calculation puts the total energy at -19.82 eV/atom.

Unit cell a=4.576 b=4.576 c=4.657 alpha=90.00 beta=90.00 gamma=90.00
Space group P4/mmm (No. 123)
One atom of each set of equivalent atoms:
Te (0.000, 0.000, 0.000) (multiplicity 1)
P (0.000, 0.500, 0.500) (multiplicity 2)
Ru (0.500, 0.500, 0.500) (multiplicity 1)
Cl (0.500, 0.500, 0.000) (multiplicity 1)

***

A plane-wave DFT calculation with meta-GGA SCAN was carried out for a PBEsol-optimized structure of CrNi6W.

Values from the calculation:
The calculation puts the mass density at 10854 kg/m3. For the formation energy, the calculation gives -4 meV per atom. The calculation puts the total energy at -23.14 eV/atom.

Unit cell a=7.117 b=10.050 c=10.061 alpha=90.00 beta=90.00 gamma=90.00
Space group Cmmm (No. 65)
One atom of each set of equivalent atoms:
Cr (0.000, 0.000, 0.244) (multiplicity 4)
Cr (0.000, 0.251, 0.000) (multiplicity 4)
Ni (0.000, 0.000, 0.000) (multiplicity 2)
Ni (0.000, 0.000, 0.500) (multiplicity 2)
Ni (0.000, 0.250, 0.252) (multiplicity 8)
Ni (0.000, 0.500, 0.000) (multiplicity 2)
Ni (0.000, 0.500, 0.500) (multiplicity 2)
Ni (0.249, 0.375, 0.125) (multiplicity 16)
Ni (0.250, 0.125, 0.375) (multiplicity 16)
W (0.000, 0.251, 0.500) (multiplicity 4)
W (0.000, 0.500, 0.243) (multiplicity 4)

***

A plane-wave DFT calculation with meta-GGA SCAN was carried out for a PBEsol-optimized structure of Sc2InCl.

Values from the calculation:
The calculation puts the mass density at 4274 kg/m3. The calculation puts the energy above the most stable polymorph in this dataset at 0.724 eV per formula unit. The calculation puts the uncorrected formation energy at -750.6 meV/atom. The calculation puts the total energy at -18.21 eV/atom.

Unit cell a=3.222 b=3.222 c=8.991 alpha=90.00 beta=90.00 gamma=90.00
Space group P4mm (No. 99)
One atom of each set of equivalent atoms:
Sc (0.000, 0.000, 0.000) (multiplicity 1)
Sc (0.500, 0.500, 0.255) (multiplicity 1)
In (0.500, 0.500, 0.779) (multiplicity 1)
Cl (0.000, 0.000, 0.413) (multiplicity 1)

***

A plane-wave DFT calculation with meta-GGA SCAN was carried out for a PBEsol-optimized structure of Ba2SrAu.

Values from the calculation:
The calculation puts the mass density at 5470 kg/m3. The calculation puts the energy above the most stable polymorph in this dataset at 0.029 eV per formula unit. For the formation energy, the calculation gives -447 meV per atom. The calculation puts the total energy at -43.08 eV/atom.

Unit cell a=4.026 b=4.026 c=10.475 alpha=90.00 beta=90.00 gamma=90.00
Space group P4/mmm (No. 123)
One atom of each set of equivalent atoms:
Ba (0.000, 0.000, 0.176) (multiplicity 2)
Sr (0.500, 0.500, 0.500) (multiplicity 1)
Au (0.500, 0.500, 0.000) (multiplicity 1)

***

A plane-wave DFT calculation with meta-GGA SCAN was carried out for a PBEsol-optimized structure of MgTa3Cd.

Values from the calculation:
The calculation puts the mass density at 9317 kg/m3. For the formation energy, the calculation gives 2103 meV per atom. The calculation puts the total energy at -44.92 eV/atom.

Unit cell a=4.948 b=4.948 c=4.948 alpha=90.00 beta=90.00 gamma=90.00
Space group Pm-3m (No. 221)
One atom of each set of equivalent atoms:
Mg (0.000, 0.000, 0.000) (multiplicity 1)
Ta (0.000, 0.500, 0.500) (multiplicity 3)
Cd (0.500, 0.500, 0.500) (multiplicity 1)

***

A plane-wave DFT calculation with meta-GGA SCAN was carried out for a PBEsol-optimized structure of BaTe3.

Values from the calculation:
The calculation puts the mass density at 6660 kg/m3. The calculation puts the uncorrected formation energy at -495.5 meV/atom. The calculation puts the total energy at -38.32 eV/atom.

Unit cell a=8.035 b=8.035 c=8.035 alpha=90.00 beta=90.00 gamma=90.00
Space group Fm-3m (No. 225)
One atom of each set of equivalent atoms:
Ba (0.000, 0.000, 0.000) (multiplicity 4)
Te (0.000, 0.000, 0.500) (multiplicity 4)
Te (0.250, 0.250, 0.250) (multiplicity 8)

***

A plane-wave DFT calculation with meta-GGA SCAN was carried out for a PBEsol-optimized structure of LiReRu2.

Values from the calculation:
The calculation puts the mass density at 12549 kg/m3. The calculation puts the energy above the most stable polymorph in this dataset at 0.000 eV per formula unit. For the formation energy, the calculation gives -79 meV per atom. The calculation puts the total energy at -35.86 eV/atom.

Unit cell a=5.937 b=5.937 c=5.937 alpha=90.00 beta=90.00 gamma=90.00
Space group Fm-3m (No. 225)
One atom of each set of equivalent atoms:
Li (0.000, 0.000, 0.000) (multiplicity 4)
Re (0.000, 0.000, 0.500) (multiplicity 4)
Ru (0.250, 0.250, 0.250) (multiplicity 8)

***

A plane-wave DFT calculation with meta-GGA SCAN was carried out for a PBEsol-optimized structure of SrGe2P2.

Values from the calculation:
The calculation puts the mass density at 4698 kg/m3. For the formation energy, the calculation gives -223 meV per atom. The calculation puts the total energy at -16.47 eV/atom.

Unit cell a=4.058 b=4.058 c=12.657 alpha=90.00 beta=90.00 gamma=90.00
Space group I4/mmm (No. 139)
One atom of each set of equivalent atoms:
Sr (0.000, 0.000, 0.000) (multiplicity 2)
Ge (0.000, 0.500, 0.250) (multiplicity 4)
P (0.000, 0.000, 0.414) (multiplicity 4)

***

A plane-wave DFT calculation with meta-GGA SCAN was carried out for a PBEsol-optimized structure of K2TlHg2.

Values from the calculation:
The calculation puts the mass density at 6905 kg/m3. For the formation energy, the calculation gives -241 meV per atom. The calculation puts the total energy at -45.31 eV/atom.

Unit cell a=7.889 b=7.889 c=5.285 alpha=90.00 beta=90.00 gamma=90.00
Space group P4/mbm (No. 127)
One atom of each set of equivalent atoms:
K (0.176, 0.324, 0.000) (multiplicity 4)
Tl (0.000, 0.000, 0.500) (multiplicity 2)
Hg (0.132, 0.632, 0.500) (multiplicity 4)

***

A plane-wave DFT calculation with meta-GGA SCAN was carried out for a PBEsol-optimized structure of Zr3TaAg.

Values from the calculation:
The calculation puts the mass density at 7564 kg/m3. For the formation energy, the calculation gives 1259 meV per atom. The calculation puts the total energy at -36.75 eV/atom.

Unit cell a=4.980 b=4.980 c=4.980 alpha=90.00 beta=90.00 gamma=90.00
Space group Pm-3m (No. 221)
One atom of each set of equivalent atoms:
Zr (0.000, 0.000, 0.500) (multiplicity 3)
Ta (0.500, 0.500, 0.500) (multiplicity 1)
Ag (0.000, 0.000, 0.000) (multiplicity 1)

***

A plane-wave DFT calculation with meta-GGA SCAN was carried out for a PBEsol-optimized structure of NaSnPCO7.

Values from the calculation:
The calculation puts the mass density at 3291 kg/m3. The calculation puts the uncorrected formation energy at -1975.2 meV/atom. The calculation puts the total energy at -11.45 eV/atom.

Unit cell a=5.007 b=6.510 c=9.188 alpha=90.00 beta=91.15 gamma=90.00
Space group P2_1 (No. 4)
One atom of each set of equivalent atoms:
Na (0.073, 0.000, 0.387) (multiplicity 2)
Sn (0.239, 0.496, 0.162) (multiplicity 2)
P (0.285, 0.996, 0.073) (multiplicity 2)
C (0.392, 0.496, 0.426) (multiplicity 2)
O (0.131, 0.996, 0.928) (multiplicity 2)
O (0.133, 0.494, 0.384) (multiplicity 2)
O (0.215, 0.811, 0.171) (multiplicity 2)
O (0.216, 0.181, 0.171) (multiplicity 2)
O (0.415, 0.496, 0.964) (multiplicity 2)
O (0.446, 0.997, 0.686) (multiplicity 2)
O (0.464, 0.498, 0.556) (multiplicity 2)

***

A plane-wave DFT calculation with meta-GGA SCAN was carried out for a PBEsol-optimized structure of LiTl2InS.

Values from the calculation:
The calculation puts the mass density at 7510 kg/m3. The calculation puts the uncorrected formation energy at -163.0 meV/atom. The calculation puts the total energy at -38.19 eV/atom.

Unit cell a=5.390 b=5.390 c=4.282 alpha=90.00 beta=90.00 gamma=90.00
Space group P4/mmm (No. 123)
One atom of each set of equivalent atoms:
Li (0.000, 0.000, 0.000) (multiplicity 1)
Tl (0.000, 0.500, 0.000) (multiplicity 2)
In (0.500, 0.500, 0.500) (multiplicity 1)
S (0.000, 0.000, 0.500) (multiplicity 1)

***

A plane-wave DFT calculation with meta-GGA SCAN was carried out for a PBEsol-optimized structure of SrBiP3.

Values from the calculation:
The calculation puts the mass density at 4529 kg/m3. The calculation puts the energy above the most stable polymorph in this dataset at 4.268 eV per formula unit. For the formation energy, the calculation gives 1341 meV per atom. The calculation puts the total energy at -25.07 eV/atom.

Unit cell a=5.227 b=5.227 c=5.227 alpha=90.00 beta=90.00 gamma=90.00
Space group Pm-3m (No. 221)
One atom of each set of equivalent atoms:
Sr (0.000, 0.000, 0.000) (multiplicity 1)
Bi (0.500, 0.500, 0.500) (multiplicity 1)
P (0.000, 0.000, 0.500) (multiplicity 3)

***

A plane-wave DFT calculation with meta-GGA SCAN was carried out for a PBEsol-optimized structure of LaSiRu2.

Values from the calculation:
The calculation puts the mass density at 8230 kg/m3. The calculation puts the uncorrected formation energy at -393.4 meV/atom. The calculation puts the total energy at -31.09 eV/atom.

Unit cell a=7.234 b=4.003 c=5.245 alpha=90.00 beta=101.25 gamma=90.00
Space group C2/m (No. 12)
One atom of each set of equivalent atoms:
La (0.000, 0.000, 0.000) (multiplicity 2)
Si (0.000, 0.500, 0.500) (multiplicity 2)
Ru (0.195, 0.000, 0.627) (multiplicity 4)